DFT (GGA-PBE) results for a geometry-optimized MnCuSe2 structure.

Calculated values
Total magnetization = 11.1 Bohr magnetons per cell
Raw formation energy = -0.168 eV per atom

Cell: 6.988 3.624 12.863 Å, 90.00 90.00 90.00°
Fractional coordinates of all 16 atoms:
Mn 0.058 0.250 0.072
Mn 0.442 0.750 0.572
Mn 0.558 0.250 0.428
Mn 0.942 0.750 0.928
Cu 0.240 0.750 0.206
Cu 0.260 0.250 0.706
Cu 0.740 0.750 0.294
Cu 0.760 0.250 0.794
Se 0.012 0.750 0.747
Se 0.247 0.250 0.510
Se 0.253 0.750 0.010
Se 0.488 0.250 0.247
Se 0.512 0.750 0.753
Se 0.747 0.250 0.990
Se 0.753 0.750 0.490
Se 0.988 0.250 0.253

=====

DFT (GGA-PBE) results for a geometry-optimized MnCuSe2 structure.

Calculated values
Total magnetization = 4.3 Bohr magnetons per cell
Raw formation energy = -0.002 eV per atom

Cell: 5.486 5.486 5.486 Å, 142.27 101.34 90.71°
Fractional coordinates of all 4 atoms:
Mn 0.000 0.000 0.000
Cu 0.500 0.000 0.500
Se 0.254 0.500 0.754
Se 0.746 0.500 0.246

=====

DFT (GGA-PBE) results for a geometry-optimized MnCuSe2 structure.

Calculated values
Total magnetization = 4.6 Bohr magnetons per cell
Raw formation energy = 0.005 eV per atom

Cell: 3.471 3.578 7.140 Å, 90.00 90.00 90.00°
Fractional coordinates of all 4 atoms:
Mn 0.000 0.000 0.000
Cu 0.000 0.500 0.500
Se 0.500 0.000 0.500
Se 0.500 0.500 0.000

=====

Q: Which of these has the highest total magnetization?
A: number 1

=====

Q: Look up the total magnetization of the third one.
A: 4.6 Bohr magnetons per cell

=====

Q: total magnetization of number 3 (MnCuSe2)?
A: 4.6 Bohr magnetons per cell